A relaxed structure of AcCd2GeRh2. Source: the Alexandria database, functional PBE.

Computed properties:
E_tot	-4.43	eV/atom
DFT formation energy	-0.22	eV/atom
crystal system	tetragonal

The structure in extended XYZ format:
```
6
Lattice="-2.660 2.660 5.222 2.660 -2.660 5.222 2.660 2.660 -5.222" Properties=species:S:1:pos:R:3 pbc="T T T"
Ac 0.000 0.000 0.000
Cd 2.660 0.000 2.611
Cd 0.000 2.660 2.611
Ge 0.000 0.000 5.222
Rh 0.000 0.000 2.922
Rh 0.000 0.000 7.522
```